Record 1
Compound: Ba2YPd2
Source: Alexandria via LeMat-Bulk
Functional: PBEsol
Structure: optimized geometry

* final energy: -44.32 eV per cell

a = 5.532 Å, b = 5.532 Å, c = 10.600 Å
α = 90.00°, β = 90.00°, γ = 90.00°
Space group I4/mmm (No. 139)
Asymmetric unit:
Ba (0.000, 0.000, 0.158) (multiplicity 4)
Y (0.000, 0.000, 0.500) (multiplicity 2)
Pd (0.000, 0.500, 0.250) (multiplicity 4)


Record 2
Compound: Dy5B3O13
Source: Alexandria via LeMat-Bulk
Functional: PBEsol
Structure: optimized geometry

* raw formation energy: -3076.8 meV per atom
* final energy: -357.59 eV per cell

a = 8.8320 Å, b = 8.8320 Å, c = 6.6849 Å
α = 90.00°, β = 90.00°, γ = 120.00°
Space group P6_3/m (No. 176)
Asymmetric unit:
Dy (0.0149, 0.2531, 0.2500) (multiplicity 6)
Dy (0.3333, 0.6667, 0.5020) (multiplicity 4)
B (0.0320, 0.3994, 0.7500) (multiplicity 6)
O (0.0000, 0.0000, 0.2500) (multiplicity 2)
O (0.0932, 0.3471, 0.5707) (multiplicity 12)
O (0.1256, 0.5917, 0.7500) (multiplicity 6)
O (0.1577, 0.6770, 0.2500) (multiplicity 6)


Record 3
Compound: MgCo4O8
Source: Alexandria via LeMat-Bulk
Functional: PBEsol
Structure: optimized geometry

* excess energy over the best structure of this formula in the dataset: 0.016 eV per atom
* raw formation energy: -1269.7 meV per atom
* final energy: -273.50 eV per cell

a = 5.5599 Å, b = 5.5599 Å, c = 14.4440 Å
α = 90.00°, β = 90.00°, γ = 120.00°
Space group R-3m (No. 166, hexagonal axes)
Asymmetric unit:
Mg (0.0000, 0.0000, 0.0000) (multiplicity 3)
Co (0.0000, 0.0000, 0.5000) (multiplicity 3)
Co (0.0000, 0.5000, 0.5000) (multiplicity 9)
O (0.0000, 0.0000, 0.2300) (multiplicity 6)
O (0.0043, 0.5022, 0.7654) (multiplicity 18)


Record 4
Compound: CoP3W
Source: Alexandria via LeMat-Bulk
Functional: PBEsol
Structure: optimized geometry

* final energy: -34.24 eV per cell

a = 4.216 Å, b = 4.216 Å, c = 4.216 Å
α = 90.00°, β = 90.00°, γ = 90.00°
Space group Pm-3m (No. 221)
Asymmetric unit:
Co (0.000, 0.000, 0.000) (multiplicity 1)
P (0.000, 0.000, 0.500) (multiplicity 3)
W (0.500, 0.500, 0.500) (multiplicity 1)


Record 5
Compound: TlPOs2
Source: Alexandria via LeMat-Bulk
Functional: PBEsol
Structure: optimized geometry

* excess energy over the best structure of this formula in the dataset: 0.000 eV per atom
* final energy: -60.76 eV per cell

a = 2.900 Å, b = 5.151 Å, c = 8.627 Å
α = 90.00°, β = 90.00°, γ = 90.00°
Space group Cmmm (No. 65)
Asymmetric unit:
Tl (0.000, 0.000, 0.000) (multiplicity 2)
P (0.000, 0.000, 0.500) (multiplicity 2)
Os (0.000, 0.500, 0.296) (multiplicity 4)


Record 6
Compound: TiCoTe2
Source: Alexandria via LeMat-Bulk
Functional: PBEsol
Structure: optimized geometry

* raw formation energy: 76.0 meV per atom
* final energy: -68.42 eV per cell

a = 3.4865 Å, b = 3.4865 Å, c = 25.4562 Å
α = 90.00°, β = 90.00°, γ = 120.00°
Space group R-3m (No. 166, hexagonal axes)
Asymmetric unit:
Ti (0.0000, 0.0000, 0.0000) (multiplicity 3)
Co (0.0000, 0.0000, 0.5000) (multiplicity 3)
Te (0.0000, 0.0000, 0.4052) (multiplicity 6)


Record 7
Compound: MnTcTeI2
Source: Alexandria via LeMat-Bulk
Functional: PBEsol
Structure: optimized geometry

* raw formation energy: 821.5 meV per atom
* final energy: -23.98 eV per cell

a = 5.449 Å, b = 5.449 Å, c = 5.043 Å
α = 90.00°, β = 90.00°, γ = 90.00°
Space group P4/mmm (No. 123)
Asymmetric unit:
Mn (0.000, 0.000, 0.000) (multiplicity 1)
Tc (0.500, 0.500, 0.500) (multiplicity 1)
Te (0.500, 0.500, 0.000) (multiplicity 1)
I (0.000, 0.500, 0.500) (multiplicity 2)


Record 8
Compound: Be4CrFe
Source: Alexandria via LeMat-Bulk
Functional: PBEsol
Structure: optimized geometry

* final energy: -145.50 eV per cell

a = 5.831 Å, b = 5.831 Å, c = 5.831 Å
α = 90.00°, β = 90.00°, γ = 90.00°
Space group F-43m (No. 216)
Asymmetric unit:
Be (0.124, 0.124, 0.124) (multiplicity 16)
Cr (0.250, 0.250, 0.750) (multiplicity 4)
Fe (0.000, 0.000, 0.500) (multiplicity 4)


Which of these has the lowest final energy?
Dy5B3O13


Look up the final energy of the third one.
-273.50 eV per cell


What is the final energy in the eighth record?
-145.50 eV per cell


What is the final energy in the fourth record?
-34.24 eV per cell